Record 1
An optimized crystal structure of TeAsRu2, computed with PBE.

Results
SG: No. 12
Magnetization: 0.000 μB per formula unit
Formation energy without anion corrections: 582 meV/atom

Geometry as POSCAR:
```
TeAsRu2
1.0
3.0511 -4.2543 0.0000
3.0511 4.2543 0.0000
-1.5572 0.0000 2.6886
Te As Ru
1 1 2
direct
0.0000 0.0000 0.0000
0.5000 0.5000 0.0000
0.0000 0.5000 0.5000
0.5000 0.0000 0.5000
```

=====

Record 2
An optimized crystal structure of TeAsRu2, computed with PBE.

Results
SG: No. 6
Magnetization: 0.000 μB per formula unit
Formation energy without anion corrections: -78 meV/atom

Geometry as POSCAR:
```
TeAsRu2
1.0
3.9991 0.0000 0.0000
0.0000 3.9981 0.0000
-0.0706 0.0000 6.1545
Te As Ru
1 1 2
direct
0.0000 0.0000 0.0000
0.4909 0.5000 0.5028
0.4951 0.0000 0.7298
0.9950 0.5000 0.7296
```

=====

Record 3
An optimized crystal structure of TeAsRu, computed with PBE.

Results
SG: No. 216
Magnetization: 0.000 μB per formula unit
Formation energy without anion corrections: -74 meV/atom

Geometry as POSCAR:
```
TeAsRu
1.0
0.0000 3.1225 3.1225
3.1225 0.0000 3.1225
3.1225 3.1225 0.0000
Te As Ru
1 1 1
direct
0.0000 0.0000 0.0000
0.5000 0.5000 0.5000
0.7500 0.7500 0.7500
```

=====

Record 4
An optimized crystal structure of TeAsRu2, computed with PBE.

Results
SG: No. 12
Magnetization: 0.000 μB per formula unit
Formation energy without anion corrections: 141 meV/atom

Geometry as POSCAR:
```
TeAsRu2
1.0
4.0025 -1.5737 0.0000
4.0025 1.5737 0.0000
-1.2386 0.0000 5.3488
Te As Ru
1 1 2
direct
0.0000 0.0000 0.0000
0.5000 0.5000 0.5000
0.2458 0.2458 0.7237
0.7542 0.7542 0.2763
```